# 1
VASP calculation (PBE-GGA) on an optimized crystal structure of Hg3AsCl.

Properties
- Space-group type: R3c (161)
- M_tot: 0.00 μB/f.u.
- Raw formation energy: -0.13 eV per atom
- Distance to the lowest polymorph of the same formula: 0.00 kJ/mol of atoms
- E_tot: -1.61 eV/atom

a = 7.650 Å, b = 7.650 Å, c = 7.650 Å
α = 57.63°, β = 57.63°, γ = 57.63°
Fractional positions:
Hg1 0.000 0.405 0.595
Hg2 0.095 0.905 0.500
Hg3 0.405 0.595 0.000
Hg4 0.500 0.095 0.905
Hg5 0.595 0.000 0.405
Hg6 0.905 0.500 0.095
As1 0.250 0.250 0.250
As2 0.750 0.750 0.750
Cl1 0.497 0.497 0.497
Cl2 0.997 0.997 0.997


# 2
VASP calculation (PBE-GGA) on an optimized crystal structure of HgAsCl2.

Properties
- Space-group type: Cmmm (65)
- M_tot: 0.01 μB/f.u.
- Raw formation energy: -0.18 eV per atom
- Distance to the lowest polymorph of the same formula: 11.55 kJ/mol of atoms
- E_tot: -2.34 eV/atom

a = 3.688 Å, b = 3.688 Å, c = 10.661 Å
α = 90.00°, β = 90.00°, γ = 123.83°
Fractional positions:
Hg1 0.000 0.000 0.000
As1 0.000 0.000 0.500
Cl1 0.500 0.500 0.329
Cl2 0.500 0.500 0.671


# 3
VASP calculation (PBE-GGA) on an optimized crystal structure of HgAsCl4.

Properties
- Space-group type: C2/m (12)
- M_tot: 0.00 μB/f.u.
- Raw formation energy: -0.53 eV per atom
- Distance to the lowest polymorph of the same formula: 0.00 kJ/mol of atoms
- E_tot: -2.58 eV/atom

a = 9.982 Å, b = 9.982 Å, c = 9.476 Å
α = 101.98°, β = 101.98°, γ = 29.69°
Fractional positions:
Hg1 0.236 0.236 0.304
Hg2 0.764 0.764 0.696
As1 0.077 0.077 0.709
As2 0.923 0.923 0.291
Cl1 0.040 0.040 0.329
Cl2 0.103 0.103 0.945
Cl3 0.262 0.262 0.696
Cl4 0.411 0.411 0.322
Cl5 0.589 0.589 0.678
Cl6 0.738 0.738 0.304
Cl7 0.897 0.897 0.055
Cl8 0.960 0.960 0.671


# 4
VASP calculation (PBE-GGA) on an optimized crystal structure of HgAsCl2.

Properties
- Space-group type: P2/m (10)
- M_tot: 0.00 μB/f.u.
- Raw formation energy: -0.30 eV per atom
- Distance to the lowest polymorph of the same formula: 0.00 kJ/mol of atoms
- E_tot: -2.46 eV/atom

a = 3.275 Å, b = 3.571 Å, c = 10.104 Å
α = 90.00°, β = 90.96°, γ = 90.00°
Fractional positions:
Hg1 0.000 0.000 0.000
As1 0.500 0.000 0.500
Cl1 0.491 0.500 0.326
Cl2 0.509 0.500 0.674


Which value of raw formation energy does entry 1 give? -0.13 eV per atom


Repeat the third record exactly.
VASP calculation (PBE-GGA) on an optimized crystal structure of HgAsCl4.

Properties
- Space-group type: C2/m (12)
- M_tot: 0.00 μB/f.u.
- Raw formation energy: -0.53 eV per atom
- Distance to the lowest polymorph of the same formula: 0.00 kJ/mol of atoms
- E_tot: -2.58 eV/atom

a = 9.982 Å, b = 9.982 Å, c = 9.476 Å
α = 101.98°, β = 101.98°, γ = 29.69°
Fractional positions:
Hg1 0.236 0.236 0.304
Hg2 0.764 0.764 0.696
As1 0.077 0.077 0.709
As2 0.923 0.923 0.291
Cl1 0.040 0.040 0.329
Cl2 0.103 0.103 0.945
Cl3 0.262 0.262 0.696
Cl4 0.411 0.411 0.322
Cl5 0.589 0.589 0.678
Cl6 0.738 0.738 0.304
Cl7 0.897 0.897 0.055
Cl8 0.960 0.960 0.671


The highest distance to the lowest polymorph of the same formula belongs to which entry? number 2


Look up the E_tot of the first one. -1.61 eV/atom